# Li2PtO2

A geometry-optimized Li2PtO2 structure (PBE-GGA, the Alexandria database).

Computed properties:
Formation energy without anion corrections (eV/atom): -1.320
M_tot (μB per atom): 0.00
Crystal system: orthorhombic
D(E_F) (states/eV/atom): 0.0000
Symmetry: Immm (71)
E (eV per cell): -26.4

Cell: 5.169 5.169 5.169 Å, 144.97 135.94 57.48°
Positions (direct):
Li  0.190  0.190  0.000
Li  0.810  0.810  0.000
Pt  0.500  0.500  0.000
O  0.350  0.850  0.500
O  0.650  0.150  0.500

=====

# LiPtO2

A geometry-optimized LiPtO2 structure (PBE-GGA, the Alexandria database).

Computed properties:
Formation energy without anion corrections (eV/atom): -0.402
M_tot (μB per atom): 0.00
Crystal system: cubic
D(E_F) (states/eV/atom): 0.5672
Symmetry: Fm-3m (225)
E (eV per cell): -19.5

Cell: 3.792 3.792 3.792 Å, 60.00 60.00 60.00°
Positions (direct):
Li  0.000  0.000  0.000
Pt  0.500  0.500  0.500
O  0.250  0.250  0.250
O  0.750  0.750  0.750

=====

# LiPt3O6

A geometry-optimized LiPt3O6 structure (PBE-GGA, the Alexandria database).

Computed properties:
Formation energy without anion corrections (eV/atom): -0.729
M_tot (μB per atom): 0.01
Crystal system: orthorhombic
D(E_F) (states/eV/atom): 0.4910
Symmetry: Cmmm (65)
E (eV per cell): -57.1

Cell: 6.283 6.283 3.154 Å, 90.00 90.00 110.07°
Positions (direct):
Li  0.000  0.000  0.000
Pt  0.000  0.500  0.500
Pt  0.500  0.000  0.500
Pt  0.500  0.500  0.000
O  0.163  0.837  0.500
O  0.164  0.418  0.000
O  0.418  0.164  0.000
O  0.582  0.836  0.000
O  0.836  0.582  0.000
O  0.837  0.163  0.500

=====

# Li3PtO3

A geometry-optimized Li3PtO3 structure (PBE-GGA, the Alexandria database).

Computed properties:
Formation energy without anion corrections (eV/atom): -1.164
M_tot (μB per atom): 0.14
Crystal system: cubic
D(E_F) (states/eV/atom): 0.5429
Symmetry: I4_132 (214)
E (eV per cell): -139.2

Cell: 7.457 7.457 7.457 Å, 109.47 109.47 109.47°
Positions (direct):
Li  0.026  0.052  0.776
Li  0.026  0.474  0.250
Li  0.052  0.776  0.026
Li  0.250  0.026  0.474
Li  0.250  0.724  0.776
Li  0.448  0.474  0.724
Li  0.474  0.250  0.026
Li  0.474  0.724  0.448
Li  0.724  0.448  0.474
Li  0.724  0.776  0.250
Li  0.776  0.026  0.052
Li  0.776  0.250  0.724
Pt  0.000  0.250  0.500
Pt  0.250  0.250  0.250
Pt  0.250  0.500  0.000
Pt  0.500  0.000  0.250
O  0.245  0.750  0.255
O  0.245  0.995  0.990
O  0.255  0.245  0.750
O  0.255  0.510  0.505
O  0.505  0.255  0.510
O  0.505  0.750  0.995
O  0.510  0.505  0.255
O  0.750  0.255  0.245
O  0.750  0.995  0.505
O  0.990  0.245  0.995
O  0.995  0.505  0.750
O  0.995  0.990  0.245